No. 1
Crystalline Ac2ScAg3Sn4 at its relaxed geometry, computed with PBE.

Cell and atoms, written as extended XYZ:
```
10
Lattice="-0.640 4.637 0.497 -0.499 -0.567 4.647 11.897 1.486 1.459" Properties=species:S:1:pos:R:3 pbc="T T T"
Sn 0.000 0.000 0.000
Sn -0.570 2.035 2.572
Sn 4.036 0.252 2.849
Sn 7.292 3.270 1.182
Sc 5.379 2.778 3.302
Ag 9.975 3.605 1.511
Ag 5.948 0.743 0.730
Ag 1.352 -0.084 2.520
Ac 2.543 2.676 0.600
Ac 8.784 0.845 3.431
```

Output
VASP energy: -44.1 eV for the cell shown
energy relative to the elements: -483 kJ/mol of formula units

---

No. 2
Crystalline AcScAgSn at its relaxed geometry, computed with PBE.

Cell and atoms, written as extended XYZ:
```
4
Lattice="-3.191 1.995 -3.852 -4.748 -2.321 -1.033 -4.573 2.516 1.327" Properties=species:S:1:pos:R:3 pbc="T T T"
Sn -3.128 0.547 -0.889
Ac -6.256 1.095 -1.779
Sc 0.000 0.000 0.000
Ag -9.384 1.642 -2.668
```

Output
VASP energy: -18.7 eV for the cell shown
energy relative to the elements: -139 kJ/mol of formula units

---

No. 3
Crystalline Ac2ScAgTe5 at its relaxed geometry, computed with PBE.

Cell and atoms, written as extended XYZ:
```
18
Lattice="4.497 0.000 0.000 -2.248 9.698 0.000 0.000 0.000 13.334" Properties=species:S:1:pos:R:3 pbc="T T T"
Te 0.000 5.857 4.713
Te 0.000 6.747 0.036
Te 2.248 2.952 6.703
Te 2.248 8.764 7.565
Te 0.000 9.661 10.344
Te 2.248 4.117 2.120
Te 0.000 0.934 0.898
Te 2.248 0.038 3.677
Te 2.248 3.841 11.380
Te 0.000 5.582 8.787
Sc 2.248 6.021 6.830
Sc 0.000 3.677 0.163
Ac 0.000 2.189 9.202
Ac 0.000 2.454 4.117
Ac 2.248 7.509 2.535
Ac 2.248 7.245 10.784
Ag 2.248 1.369 12.729
Ag 0.000 8.329 6.062
```

Output
VASP energy: -88.7 eV for the cell shown
ΔE_f (raw): -11.24 eV/f.u.

---

Question: The lowest VASP energy belongs to which entry?
Answer: Ac2ScAgTe5